BeSiBr2 (GGA-PBE, relaxed); final energy = -21.89 eV/cell; DOS(E_F) = 3.44 states/eV/cell; space group = I-42d, No. 122
1.0
6.553 0.000 0.000
0.000 6.553 0.000
3.276 3.276 4.815
Be Si Br
2 2 4
direct
0.500 0.500 0.000
0.250 0.750 0.500
0.000 0.000 0.000
0.750 0.250 0.500
0.506 0.125 0.250
0.244 0.625 0.250
0.375 0.494 0.750
0.875 0.756 0.750